[1]
Entry from the Alexandria database: HgSb2Pt at its PBEsol-relaxed geometry (meta-GGA SCAN).

Cell: 3.8276 4.2088 5.7866 Å, 107.91 90.00 90.00°
Last column: nearest neighbours and their distance in Å.
Element x y z (fractional)
1 Hg 0.0000 0.1042 0.4556  2 Pt 2.89, 6 Sb 2.94-3.01
2 Pt 0.5000 0.4299 0.8264  3 Sb 2.68-2.74, 2 Hg 2.89
3 Sb 0.0000 0.9170 0.9102  4 Pt 2.74-3.03, 2 Hg 2.97-3.01
4 Sb 0.5000 0.5489 0.3079  1 Pt 2.68, 4 Hg 2.94-2.98

Symmetry ... Pm (6)
E_form (uncorrected) ... -0.019 eV/atom
Calculated total energy ... -53.2395 eV/atom

=====

[2]
Entry from the Alexandria database: K3NaIn at its PBEsol-relaxed geometry (meta-GGA SCAN).

Cell: 6.5940 6.5940 6.5940 Å, 90.00 90.00 90.00°
Last column: nearest neighbours and their distance in Å.
Element x y z (fractional)
1 Na 0.0000 0.0000 0.0000  6 K 3.30
2 K 0.0000 0.5000 0.0000  2 Na 3.30
3 K 0.0000 0.0000 0.5000  2 Na 3.30
4 K 0.5000 0.0000 0.0000  2 Na 3.30
5 In 0.5000 0.5000 0.5000  12 K 4.66

Energy relative to the elements ... 0.347 eV per atom
Symmetry ... Pm-3m (221)
Calculated total energy ... -12.1709 eV/atom

=====

[3]
Entry from the Alexandria database: CaTePt2 at its PBEsol-relaxed geometry (meta-GGA SCAN).

Cell: 3.7348 3.7348 5.8815 Å, 90.00 90.00 90.00°
Last column: nearest neighbours and their distance in Å.
Element x y z (fractional)
1 Ca 0.5000 0.5000 0.7904  6 Pt 2.90-2.97
2 Te 0.0000 0.0000 0.4308  5 Pt 2.58-2.77
3 Pt 0.0000 0.0000 0.9928  1 Te 2.58
4 Pt 0.5000 0.5000 0.2859  4 Te 2.77, 2 Ca 2.91-2.97

Symmetry ... P4mm (99)
E_form (uncorrected) ... -0.516 eV/atom
Calculated total energy ... -47.3413 eV/atom

=====

[4]
Entry from the Alexandria database: H3RuAu at its PBEsol-relaxed geometry (meta-GGA SCAN).

Cell: 3.4373 3.4373 3.4373 Å, 90.00 90.00 90.00°
Last column: nearest neighbours and their distance in Å.
Element x y z (fractional)
1 Ru 0.0000 0.0000 0.0000  6 H 1.72
2 Au 0.5000 0.5000 0.5000  12 H 2.43
3 H 0.0000 0.5000 0.0000  2 Ru 1.72
4 H 0.0000 0.0000 0.5000  2 Ru 1.72
5 H 0.5000 0.0000 0.0000  2 Ru 1.72

Symmetry ... Pm-3m (221)
Calculated total energy ... -22.4548 eV/atom

=====

[5]
Entry from the Alexandria database: AsCl at its PBEsol-relaxed geometry (meta-GGA SCAN).

Cell: 3.7973 4.0382 7.1620 Å, 89.97 90.00 90.00°
Last column: nearest neighbours and their distance in Å.
Element x y z (fractional)
1 As 0.2500 0.2088 0.5023  1 Cl 2.20
2 As 0.7500 0.7912 0.4977  1 Cl 2.20
3 Cl 0.2500 0.2408 0.8088  1 As 2.20
4 Cl 0.7500 0.7592 0.1912  1 As 2.20

Symmetry ... P2_1/m (11)
E_form (uncorrected) ... -0.438 eV/atom
Calculated total energy ... -14.5218 eV/atom

=====

[6]
Entry from the Alexandria database: MnFe3 at its PBEsol-relaxed geometry (meta-GGA SCAN).

Cell: 2.3850 4.6168 4.6168 Å, 117.10 99.92 99.92°
Last column: nearest neighbours and their distance in Å.
Element x y z (fractional)
1 Mn 0.5000 0.0000 0.0000  2 Mn 2.39, 6 Fe 2.41
2 Fe 0.5000 0.5000 0.5000  6 Fe 2.39-2.41, 2 Mn 2.41
3 Fe 0.0000 0.0000 0.5000  6 Fe 2.39-2.41, 2 Mn 2.41
4 Fe 0.0000 0.5000 0.0000  6 Fe 2.39-2.41, 2 Mn 2.41

Energy relative to the elements ... 0.087 eV per atom
Symmetry ... R-3m (166)
Calculated total energy ... -18.0744 eV/atom

=====

- What is the calculated total energy in the sixth record?
  -18.0744 eV/atom